# Sm11Ho4Er9 | Alexandria | PBE-GGA | optimized geometry
data_Sm11Ho4Er9
_chemical_formula_sum 'Sm22 Ho8 Er18'
_symmetry_space_group_name_H-M 'C m m m'
_symmetry_Int_Tables_number 65
_symmetry_space_group_name_Hall '-C 2 2'
_cell_length_a 16.807
_cell_length_b 25.444
_cell_length_c 3.635
_cell_angle_alpha 90.00
_cell_angle_beta 90.00
_cell_angle_gamma 90.00
loop_
_atom_site_label
_atom_site_type_symbol
_atom_site_fract_x
_atom_site_fract_y
_atom_site_fract_z
Sm1 Sm 0.000 0.000 0.000
Sm2 Sm 0.000 0.160 0.000
Sm3 Sm 0.000 0.368 0.000
Sm4 Sm 0.208 0.500 0.000
Sm5 Sm 0.225 0.181 0.000
Ho1 Ho 0.157 0.398 0.500
Er1 Er 0.000 0.500 0.500
Er2 Er 0.102 0.267 0.500
Er3 Er 0.141 0.073 0.500
# - Energy of formation: 0.05 eV/atom